This record from the Alexandria database describes crystalline Te3PbAu at its relaxed geometry. The functional is PBE.

a = 5.8308 Å, b = 5.8308 Å, c = 5.8308 Å
α = 90.00°, β = 90.00°, γ = 90.00°
Atoms (fractional coordinates):
Te  0.0000  0.0000  0.5000
Te  0.0000  0.5000  0.0000
Te  0.5000  0.0000  0.0000
Pb  0.0000  0.0000  0.0000
Au  0.5000  0.5000  0.5000

Calculated values
* formation energy from raw total energies: 0.891 eV/atom
* M_tot: 0.000 μB per cell
* distance to the lowest polymorph of the same formula: 683 meV per atom
* DFT total energy: -2.391 eV/atom
* symmetry: Pm-3m, No. 221

=====

This record from the Alexandria database describes crystalline CaPrPtRh at its relaxed geometry. The functional is PBE.

a = 4.9988 Å, b = 4.9988 Å, c = 4.9988 Å
α = 60.00°, β = 60.00°, γ = 60.00°
Atoms (fractional coordinates):
Ca  0.0000  0.0000  0.0000
Pr  0.5000  0.5000  0.5000
Pt  0.7500  0.7500  0.7500
Rh  0.2500  0.2500  0.2500

Calculated values
* M_tot: 0.000 μB per cell
* distance to the lowest polymorph of the same formula: 46 meV per atom
* formation energy from the elements: -0.724 eV per atom
* DFT total energy: -5.767 eV/atom
* symmetry: F-43m, No. 216

=====

This record from the Alexandria database describes crystalline ReBi3Mo at its relaxed geometry. The functional is PBE.

a = 5.3309 Å, b = 5.3309 Å, c = 5.3309 Å
α = 90.00°, β = 90.00°, γ = 90.00°
Atoms (fractional coordinates):
Re  0.0000  0.0000  0.0000
Bi  0.0000  0.0000  0.5000
Bi  0.0000  0.5000  0.0000
Bi  0.5000  0.0000  0.0000
Mo  0.5000  0.5000  0.5000

Calculated values
* M_tot: 4.045 μB per cell
* distance to the lowest polymorph of the same formula: 0 meV per atom
* formation energy from the elements: 1.467 eV per atom
* DFT total energy: -5.518 eV/atom
* symmetry: Pm-3m, No. 221

=====

This record from the Alexandria database describes crystalline SiAg2Mo at its relaxed geometry. The functional is PBE.

a = 4.9343 Å, b = 4.9343 Å, c = 5.2660 Å
α = 107.81°, β = 107.81°, γ = 32.70°
Atoms (fractional coordinates):
Si  0.0000  0.0000  0.0000
Ag  0.4792  0.4792  0.5524
Ag  0.7133  0.7133  0.3728
Mo  0.2570  0.2570  0.9078

Calculated values
* formation energy from raw total energies: 0.278 eV/atom
* M_tot: 0.000 μB per cell
* DFT total energy: -5.211 eV/atom
* symmetry: Cm, No. 8

=====

This record from the Alexandria database describes crystalline NdScCuSi at its relaxed geometry. The functional is PBE.

a = 4.8854 Å, b = 4.8854 Å, c = 4.8854 Å
α = 60.00°, β = 60.00°, γ = 60.00°
Atoms (fractional coordinates):
Nd  0.0000  0.0000  0.0000
Sc  0.5000  0.5000  0.5000
Cu  0.7500  0.7500  0.7500
Si  0.2500  0.2500  0.2500

Calculated values
* formation energy from raw total energies: -0.375 eV/atom
* M_tot: 0.000 μB per cell
* DFT total energy: -5.529 eV/atom
* symmetry: F-43m, No. 216

=====

This record from the Alexandria database describes crystalline BaZrSe4 at its relaxed geometry. The functional is PBE.

a = 5.9912 Å, b = 5.9912 Å, c = 5.9912 Å
α = 60.00°, β = 60.00°, γ = 60.00°
Atoms (fractional coordinates):
Ba  0.0000  0.0000  0.0000
Zr  0.2500  0.2500  0.2500
Se  0.1293  0.6236  0.6236
Se  0.6236  0.1293  0.6236
Se  0.6236  0.6236  0.1293
Se  0.6236  0.6236  0.6236

Calculated values
* formation energy from raw total energies: -0.003 eV/atom
* M_tot: 2.318 μB per cell
* distance to the lowest polymorph of the same formula: 1195 meV per atom
* DFT total energy: -4.071 eV/atom
* symmetry: F-43m, No. 216

=====

This record from the Alexandria database describes crystalline Pr2SnSb at its relaxed geometry. The functional is PBE.

a = 9.0099 Å, b = 7.5080 Å, c = 8.1910 Å
α = 90.00°, β = 90.00°, γ = 90.00°
Atoms (fractional coordinates):
Pr  0.1255  0.2500  0.0000
Pr  0.1255  0.2500  0.5000
Pr  0.3632  0.7500  0.0000
Pr  0.3632  0.7500  0.5000
Pr  0.6368  0.2500  0.0000
Pr  0.6368  0.2500  0.5000
Pr  0.8745  0.7500  0.0000
Pr  0.8745  0.7500  0.5000
Sn  0.3873  0.0945  0.2500
Sn  0.3873  0.4055  0.7500
Sn  0.6127  0.5945  0.2500
Sn  0.6127  0.9055  0.7500
Sb  0.1198  0.5859  0.2500
Sb  0.1198  0.9141  0.7500
Sb  0.8802  0.0859  0.2500
Sb  0.8802  0.4141  0.7500

Calculated values
* formation energy from raw total energies: -0.733 eV/atom
* M_tot: 0.000 μB per cell
* distance to the lowest polymorph of the same formula: 249 meV per atom
* DFT total energy: -5.154 eV/atom
* symmetry: Pbcm, No. 57

=====

This record from the Alexandria database describes crystalline Be3W2 at its relaxed geometry. The functional is PBE.

a = 4.0665 Å, b = 4.0665 Å, c = 4.9159 Å
α = 90.00°, β = 90.00°, γ = 120.00°
Atoms (fractional coordinates):
Be  0.0000  0.0000  0.0000
Be  0.3333  0.6667  0.3796
Be  0.6667  0.3333  0.6204
W  0.3333  0.6667  0.8737
W  0.6667  0.3333  0.1263

Calculated values
* M_tot: 0.000 μB per cell
* distance to the lowest polymorph of the same formula: 824 meV per atom
* formation energy from the elements: 0.611 eV per atom
* DFT total energy: -6.806 eV/atom
* symmetry: P-3m1, No. 164